{
  "formula": "PrGd2Lu",
  "functional": "GGA-PBE",
  "state": "optimized geometry",
  "cell": [[5.088, 0.000, 0.000], [0.000, 5.052, 0.000], [0.000, 0.000, 5.052]],
  "species": ["Gd", "Gd", "Lu", "Pr"],
  "frac_coords": [[0.000, 0.500, 0.000], [0.000, 0.000, 0.500], [0.500, 0.500, 0.500], [0.500, 0.000, 0.000]],
  "final_energy_ev_per_cell": -37.4,
  "space_group": "No. 123",
  "m_tot_mub_per_fu": 14.709,
  "crystal_system": "tetragonal",
  "dos_ef_per_ev_fu": 6.7,
  "relative_energy_ev_per_atom": 0.000
}